# PBE Rb2Pt2Se, optimized geometry
data_Rb2Pt2Se
_chemical_formula_sum 'Rb4 Pt4 Se2'
_space_group_name_H-M_alt 'I m m m'
_space_group_IT_number 71
_space_group_name_Hall '-I 2 2'
_cell_length_a 4.4353
_cell_length_b 5.4125
_cell_length_c 11.0394
_cell_angle_alpha 90.00
_cell_angle_beta 90.00
_cell_angle_gamma 90.00
loop_
_atom_site_label
_atom_site_fract_x
_atom_site_fract_y
_atom_site_fract_z
_atom_site_occupancy
Rb1 0.0000 0.0000 0.2047 1
Pt1 0.0000 0.2570 0.5000 1
Se1 0.0000 0.5000 0.0000 1
# - E_tot: -3.793 eV per atom



# PBE Sc3Zn3NiAu2, optimized geometry
data_Sc3Zn3NiAu2
_chemical_formula_sum 'Sc3 Zn3 Ni1 Au2'
_space_group_name_H-M_alt 'P -6 2 m'
_space_group_IT_number 189
_space_group_name_Hall 'P -6 -2'
_cell_length_a 7.1611
_cell_length_b 7.1611
_cell_length_c 3.5773
_cell_angle_alpha 90.00
_cell_angle_beta 90.00
_cell_angle_gamma 120.00
loop_
_atom_site_label
_atom_site_fract_x
_atom_site_fract_y
_atom_site_fract_z
_atom_site_occupancy
Sc1 0.0000 0.6156 0.0000 1
Zn1 0.0000 0.2480 0.5000 1
Ni1 0.0000 0.0000 0.0000 1
Au1 0.3333 0.6667 0.5000 1
# - Energy relative to the elements: -5.1 eV per formula unit
# - E_tot: -4.448 eV per atom



# PBE AgGeBi, optimized geometry
data_AgGeBi
_chemical_formula_sum 'Ag4 Ge4 Bi4'
_space_group_name_H-M_alt 'F -4 3 m'
_space_group_IT_number 216
_space_group_name_Hall 'F -4 2 3'
_cell_length_a 6.9300
_cell_length_b 6.9300
_cell_length_c 6.9300
_cell_angle_alpha 90.00
_cell_angle_beta 90.00
_cell_angle_gamma 90.00
loop_
_atom_site_label
_atom_site_fract_x
_atom_site_fract_y
_atom_site_fract_z
_atom_site_occupancy
Ag1 0.0000 0.0000 0.0000 1
Ge1 0.0000 0.0000 0.5000 1
Bi1 0.2500 0.2500 0.2500 1
# - E_tot: -3.513 eV per atom



# PBE CdGaPb, optimized geometry
data_CdGaPb
_chemical_formula_sum 'Cd4 Ga4 Pb4'
_space_group_name_H-M_alt 'P n m a'
_space_group_IT_number 62
_cell_length_a 6.6414
_cell_length_b 4.6600
_cell_length_c 9.6644
_cell_angle_alpha 90.00
_cell_angle_beta 90.00
_cell_angle_gamma 90.00
loop_
_space_group_symop_operation_xyz
'x,y,z'
'-x,-y,-z'
'-x+1/2,-y,z+1/2'
'x+1/2,y,-z+1/2'
'x+1/2,-y+1/2,-z+1/2'
'-x+1/2,y+1/2,z+1/2'
'-x,y+1/2,-z'
'x,-y+1/2,z'
loop_
_atom_site_label
_atom_site_fract_x
_atom_site_fract_y
_atom_site_fract_z
_atom_site_occupancy
Cd1 0.1000 0.2500 0.2401 1
Ga1 0.1152 0.2500 0.9193 1
Pb1 0.1371 0.2500 0.5871 1
# - Energy above the lowest structure with this stoichiometry: 0.000 eV per atom
# - E_tot: -2.469 eV per atom



# PBE LiReO3, optimized geometry
data_LiReO3
_chemical_formula_sum 'Li4 Re4 O12'
_space_group_name_H-M_alt 'P n n a'
_space_group_IT_number 52
_cell_length_a 5.1217
_cell_length_b 4.9434
_cell_length_c 8.4641
_cell_angle_alpha 90.00
_cell_angle_beta 90.00
_cell_angle_gamma 90.00
loop_
_space_group_symop_operation_xyz
'x,y,z'
'-x,-y,-z'
'-x+1/2,-y,z'
'x+1/2,y,-z'
'x,-y+1/2,-z+1/2'
'-x,y+1/2,z+1/2'
'-x+1/2,y+1/2,-z+1/2'
'x+1/2,-y+1/2,z+1/2'
loop_
_atom_site_label
_atom_site_fract_x
_atom_site_fract_y
_atom_site_fract_z
_atom_site_occupancy
Li1 0.2500 0.0000 0.1943 1
Re1 0.2500 0.0000 0.5948 1
O1 0.0793 0.2066 0.4200 1
O2 0.1346 0.2500 0.7500 1
# - E_tot: -7.457 eV per atom



# PBE BeTlCuW, optimized geometry
data_BeTlCuW
_chemical_formula_sum 'Be4 Tl4 Cu4 W4'
_space_group_name_H-M_alt 'F -4 3 m'
_space_group_IT_number 216
_space_group_name_Hall 'F -4 2 3'
_cell_length_a 6.3054
_cell_length_b 6.3054
_cell_length_c 6.3054
_cell_angle_alpha 90.00
_cell_angle_beta 90.00
_cell_angle_gamma 90.00
loop_
_atom_site_label
_atom_site_fract_x
_atom_site_fract_y
_atom_site_fract_z
_atom_site_occupancy
Be1 0.0000 0.0000 0.0000 1
Tl1 0.0000 0.0000 0.5000 1
Cu1 0.2500 0.2500 0.7500 1
W1 0.2500 0.2500 0.2500 1
# - Energy above the lowest structure with this stoichiometry: 0.112 eV per atom
# - E_tot: -4.678 eV per atom



> Among the records above, which one has the highest E_tot?

CdGaPb



What did the sixth record say?
# PBE BeTlCuW, optimized geometry
data_BeTlCuW
_chemical_formula_sum 'Be4 Tl4 Cu4 W4'
_space_group_name_H-M_alt 'F -4 3 m'
_space_group_IT_number 216
_space_group_name_Hall 'F -4 2 3'
_cell_length_a 6.3054
_cell_length_b 6.3054
_cell_length_c 6.3054
_cell_angle_alpha 90.00
_cell_angle_beta 90.00
_cell_angle_gamma 90.00
loop_
_atom_site_label
_atom_site_fract_x
_atom_site_fract_y
_atom_site_fract_z
_atom_site_occupancy
Be1 0.0000 0.0000 0.0000 1
Tl1 0.0000 0.0000 0.5000 1
Cu1 0.2500 0.2500 0.7500 1
W1 0.2500 0.2500 0.2500 1
# - Energy above the lowest structure with this stoichiometry: 0.112 eV per atom
# - E_tot: -4.678 eV per atom